No. 1
First-principles (PBE) data for a relaxed structure of CuPF5, as listed in Alexandria.

Values from the calculation:
energy relative to the elements, uncorrected	-1949	meV/atom
symmetry	P-1
density of states at the Fermi level	0.000	states/eV/atom
crystal system	triclinic

Lattice parameters (Å, degrees): 6.996 7.404 5.218 118.50 92.94 101.17
Fractional positions:
F: 0.306 0.962 0.210
F: 0.718 0.498 0.258
F: 0.029 0.699 0.438
F: 0.881 0.817 0.173
F: 0.119 0.183 0.827
F: 0.694 0.038 0.790
F: 0.971 0.301 0.562
F: 0.282 0.502 0.742
F: 0.269 0.517 0.181
F: 0.731 0.483 0.819
Cu: 0.500 0.000 0.500
Cu: 0.500 0.000 0.000
P: 0.118 0.408 0.873
P: 0.882 0.592 0.127

=====

No. 2
First-principles (PBE) data for a relaxed structure of CuPF6, as listed in Alexandria.

Values from the calculation:
energy relative to the elements, uncorrected	-2128	meV/atom
symmetry	P-31c
crystal system	trigonal

Lattice parameters (Å, degrees): 4.977 4.977 9.311 90.00 90.00 120.00
Last column: magnetic moment on the atom in μB.
Fractional positions:
F: 0.006 0.733 0.398  0.00
F: 0.727 0.994 0.398  0.00
F: 0.273 0.006 0.602  0.00
F: 0.727 0.733 0.102  0.00
F: 0.006 0.273 0.102  0.00
F: 0.994 0.727 0.898  0.00
F: 0.273 0.267 0.898  0.00
F: 0.994 0.267 0.602  0.00
F: 0.733 0.727 0.602  0.00
F: 0.267 0.273 0.398  0.00
F: 0.733 0.006 0.898  0.00
F: 0.267 0.994 0.102  0.00
P: 0.000 0.000 0.000  0.00
P: 0.000 0.000 0.500  0.00
Cu: 0.333 0.667 0.250  0.10
Cu: 0.667 0.333 0.750  0.10

=====

No. 3
First-principles (PBE) data for a relaxed structure of CuP3F, as listed in Alexandria.

Values from the calculation:
energy relative to the elements, uncorrected	935	meV/atom
symmetry	Pm-3m
E above lowest polymorph	189	meV/atom
density of states at the Fermi level	0.683	states/eV/atom
crystal system	cubic

Lattice parameters (Å, degrees): 4.310 4.310 4.310 90.00 90.00 90.00
Fractional positions:
F: 0.000 0.000 0.000
P: 0.000 0.500 0.000
P: 0.000 0.000 0.500
P: 0.500 0.000 0.000
Cu: 0.500 0.500 0.500

=====

No. 4
First-principles (PBE) data for a relaxed structure of CuP3F, as listed in Alexandria.

Values from the calculation:
energy relative to the elements, uncorrected	746	meV/atom
symmetry	Pm-3m
E above lowest polymorph	0	meV/atom
density of states at the Fermi level	0.840	states/eV/atom
crystal system	cubic

Lattice parameters (Å, degrees): 4.460 4.460 4.460 90.00 90.00 90.00
Fractional positions:
P: 0.000 0.000 0.500
P: 0.000 0.500 0.000
P: 0.500 0.000 0.000
Cu: 0.000 0.000 0.000
F: 0.500 0.500 0.500

=====

No. 5
First-principles (PBE) data for a relaxed structure of CuPF3, as listed in Alexandria.

Values from the calculation:
energy relative to the elements, uncorrected	-549	meV/atom
symmetry	Pm-3m
E above lowest polymorph	144	meV/atom
density of states at the Fermi level	1.198	states/eV/atom
crystal system	cubic

Lattice parameters (Å, degrees): 4.008 4.008 4.008 90.00 90.00 90.00
Last column: magnetic moment on the atom in μB.
Fractional positions:
P: 0.500 0.500 0.500  0.02
F: 0.500 0.000 0.000  -0.02
F: 0.000 0.000 0.500  0.00
F: 0.000 0.500 0.000  -0.01
Cu: 0.000 0.000 0.000  -0.16

=====

No. 6
First-principles (PBE) data for a relaxed structure of CuP2F, as listed in Alexandria.

Values from the calculation:
energy relative to the elements, uncorrected	208	meV/atom
symmetry	I-42d
E above lowest polymorph	201	meV/atom
density of states at the Fermi level	0.623	states/eV/atom
crystal system	tetragonal

Lattice parameters (Å, degrees): 4.850 4.850 6.804 69.12 69.12 90.00
Fractional positions:
F: 0.500 0.500 0.000
F: 0.250 0.750 0.500
Cu: 0.750 0.250 0.500
Cu: 0.000 0.000 0.000
P: 0.875 0.896 0.750
P: 0.375 0.354 0.750
P: 0.646 0.125 0.250
P: 0.104 0.625 0.250